No. 1
A relaxed structure of Y2Be2Te. Source: the Alexandria database, functional PBEsol.

Summary:
* uncorrected formation energy: -0.3283 eV per atom

abc: 4.157 6.841 6.841
angles: 90.00 90.00 90.00
Atoms (fractional coordinates):
1 Y 0.500 0.329 0.171
2 Be 0.000 0.111 0.389
3 Be 0.000 0.611 0.111
4 Y 0.500 0.171 0.671
5 Te 0.000 0.000 0.000
6 Y 0.500 0.829 0.329
7 Be 0.000 0.389 0.889
8 Be 0.000 0.889 0.611
9 Te 0.000 0.500 0.500
10 Y 0.500 0.671 0.829



No. 2
A relaxed structure of Y2BeTe. Source: the Alexandria database, functional PBEsol.

Summary:
* E above lowest polymorph: 65 meV per atom
* uncorrected formation energy: -0.4005 eV per atom

abc: 3.738 4.618 6.033
angles: 112.51 108.05 90.00
Atoms (fractional coordinates):
1 Be 0.526 0.526 0.052
2 Y 0.768 0.268 0.536
3 Te 0.207 0.707 0.415
4 Y 0.999 0.999 0.998



No. 3
A relaxed structure of BeZn2Te. Source: the Alexandria database, functional PBEsol.

Summary:
* E above lowest polymorph: 0 meV per atom
* uncorrected formation energy: 0.2700 eV per atom

abc: 3.570 3.625 5.794
angles: 108.50 90.00 90.00
Atoms (fractional coordinates):
1 Be 0.000 0.278 0.435
2 Zn 0.500 0.712 0.298
3 Te 0.500 0.434 0.741
4 Zn 0.000 0.076 0.027



No. 4
A relaxed structure of BeZnTe3. Source: the Alexandria database, functional PBEsol.

Summary:
* uncorrected formation energy: 0.9093 eV per atom

abc: 5.171 5.171 5.171
angles: 90.00 90.00 90.00
Atoms (fractional coordinates):
1 Te 0.000 0.500 0.000
2 Te 0.500 0.000 0.000
3 Be 0.500 0.500 0.500
4 Te 0.000 0.000 0.500
5 Zn 0.000 0.000 0.000



No. 5
A relaxed structure of Be2ZnTe. Source: the Alexandria database, functional PBEsol.

Summary:
* uncorrected formation energy: 0.2940 eV per atom

abc: 3.878 3.878 5.843
angles: 70.62 70.62 60.00
Atoms (fractional coordinates):
1 Be 0.646 0.646 0.063
2 Be 0.354 0.354 0.937
3 Te 0.500 0.500 0.500
4 Zn 0.000 0.000 0.000



No. 6
A relaxed structure of Be4ZnTe. Source: the Alexandria database, functional PBEsol.

Summary:
* uncorrected formation energy: 0.5059 eV per atom

abc: 4.740 4.740 4.740
angles: 60.00 60.00 60.00
Atoms (fractional coordinates):
1 Be 0.116 0.628 0.628
2 Zn 0.000 0.000 0.000
3 Be 0.628 0.628 0.628
4 Te 0.250 0.250 0.250
5 Be 0.628 0.116 0.628
6 Be 0.628 0.628 0.116



No. 7
A relaxed structure of BeZn2Te. Source: the Alexandria database, functional PBEsol.

Summary:
* E above lowest polymorph: 341 meV per atom
* uncorrected formation energy: 0.6110 eV per atom

abc: 4.654 4.654 4.654
angles: 60.00 60.00 60.00
Atoms (fractional coordinates):
1 Be 0.000 0.000 0.000
2 Zn 0.250 0.250 0.250
3 Zn 0.750 0.750 0.750
4 Te 0.500 0.500 0.500



No. 8
A relaxed structure of ZrBeTe. Source: the Alexandria database, functional PBEsol.

Summary:
* uncorrected formation energy: 0.5271 eV per atom

abc: 4.575 4.575 4.575
angles: 60.00 60.00 60.00
Atoms (fractional coordinates):
1 Te 0.250 0.250 0.250
2 Be 0.500 0.500 0.500
3 Zr 0.000 0.000 0.000



No. 9
A relaxed structure of ZrBeTe3. Source: the Alexandria database, functional PBEsol.

Summary:
* uncorrected formation energy: 0.4531 eV per atom

abc: 5.515 5.515 5.515
angles: 90.00 90.00 90.00
Atoms (fractional coordinates):
1 Te 0.000 0.000 0.500
2 Te 0.000 0.500 0.000
3 Zr 0.000 0.000 0.000
4 Be 0.500 0.500 0.500
5 Te 0.500 0.000 0.000



No. 10
A relaxed structure of ZrBeTe2. Source: the Alexandria database, functional PBEsol.

Summary:
* uncorrected formation energy: 0.4405 eV per atom

abc: 4.977 4.977 4.977
angles: 60.00 60.00 60.00
Atoms (fractional coordinates):
1 Te 0.000 0.000 0.000
2 Te 0.250 0.250 0.250
3 Zr 0.750 0.750 0.750
4 Be 0.500 0.500 0.500



No. 11
A relaxed structure of Ti3Be. Source: the Alexandria database, functional PBEsol.

Summary:
* E above lowest polymorph: 0 meV per atom
* formation energy from the elements: -0.03 eV per formula unit

abc: 3.803 3.803 4.810
angles: 113.29 113.29 90.00
Atoms (fractional coordinates):
1 Be 0.000 0.000 0.000
2 Ti 0.500 0.500 0.000
3 Ti 0.250 0.750 0.500
4 Ti 0.750 0.250 0.500



No. 12
A relaxed structure of TiBe12. Source: the Alexandria database, functional PBEsol.

Summary:
* E above lowest polymorph: 82 meV per atom
* formation energy from the elements: -0.75 eV per formula unit

abc: 4.217 4.217 7.286
angles: 90.00 90.00 120.00
Atoms (fractional coordinates):
1 Be 0.500 0.000 0.760
2 Be 0.667 0.333 0.500
3 Be 0.500 0.000 0.240
4 Be 0.000 0.000 0.347
5 Be 0.000 0.500 0.240
6 Be 0.333 0.667 0.500
7 Ti 0.000 0.000 0.000
8 Be 0.500 0.500 0.760
9 Be 0.000 0.500 0.760
10 Be 0.000 0.000 0.653
11 Be 0.500 0.500 0.240
12 Be 0.667 0.333 0.000
13 Be 0.333 0.667 0.000



No. 13
A relaxed structure of Ti2Be17. Source: the Alexandria database, functional PBEsol.

Summary:
* formation energy from the elements: -3.65 eV per formula unit

abc: 5.520 5.520 5.520
angles: 82.83 82.83 82.83
Atoms (fractional coordinates):
1 Be 0.000 0.500 0.500
2 Be 0.660 0.154 0.154
3 Be 0.401 0.401 0.401
4 Be 0.796 0.204 0.500
5 Be 0.500 0.796 0.204
6 Be 0.846 0.340 0.846
7 Be 0.340 0.846 0.846
8 Ti 0.836 0.836 0.836
9 Be 0.796 0.500 0.204
10 Be 0.500 0.204 0.796
11 Be 0.500 0.500 0.000
12 Be 0.154 0.660 0.154
13 Be 0.846 0.846 0.340
14 Be 0.204 0.500 0.796
15 Be 0.599 0.599 0.599
16 Be 0.154 0.154 0.660
17 Be 0.204 0.796 0.500
18 Ti 0.164 0.164 0.164
19 Be 0.500 0.000 0.500



No. 14
A relaxed structure of Ti2Be17. Source: the Alexandria database, functional PBEsol.

Summary:
* formation energy from the elements: -3.62 eV per formula unit

abc: 7.140 7.298 7.298
angles: 120.00 90.00 90.00
Atoms (fractional coordinates):
1 Be 0.515 0.671 0.836
2 Be 0.485 0.329 0.164
3 Be 0.985 0.164 0.329
4 Be 0.000 0.000 0.500
5 Be 0.000 0.500 0.000
6 Be 0.500 0.500 0.000
7 Be 0.985 0.671 0.836
8 Be 0.750 0.669 0.039
9 Be 0.015 0.329 0.164
10 Be 0.515 0.164 0.836
11 Be 0.898 0.667 0.333
12 Be 0.250 0.331 0.370
13 Be 0.015 0.836 0.671
14 Ti 0.250 0.667 0.333
15 Be 0.485 0.836 0.671
16 Be 0.750 0.669 0.630
17 Be 0.015 0.836 0.164
18 Ti 0.750 0.333 0.667
19 Be 0.250 0.039 0.370
20 Be 0.500 0.500 0.500
21 Be 0.750 0.370 0.331
22 Be 0.750 0.370 0.039
23 Be 0.515 0.164 0.329
24 Be 0.000 0.500 0.500
25 Be 0.250 0.331 0.961
26 Be 0.102 0.333 0.667
27 Be 0.750 0.961 0.331
28 Be 0.500 0.000 0.500
29 Ti 0.750 0.000 0.000
30 Be 0.485 0.836 0.164
31 Be 0.398 0.333 0.667
32 Be 0.985 0.164 0.836
33 Be 0.250 0.630 0.669
34 Be 0.602 0.667 0.333
35 Be 0.750 0.961 0.630
36 Be 0.250 0.039 0.669
37 Ti 0.250 0.000 0.000
38 Be 0.250 0.630 0.961



No. 15
A relaxed structure of TiBe12. Source: the Alexandria database, functional PBEsol.

Summary:
* E above lowest polymorph: 0 meV per atom
* formation energy from the elements: -1.83 eV per formula unit

abc: 4.123 5.563 5.563
angles: 82.11 68.25 68.25
Atoms (fractional coordinates):
1 Be 0.500 0.217 0.783
2 Be 0.000 0.000 0.500
3 Be 0.000 0.500 0.000
4 Be 0.283 0.217 0.217
5 Ti 0.000 0.000 0.000
6 Be 0.500 0.000 0.500
7 Be 0.500 0.783 0.217
8 Be 0.351 0.649 0.649
9 Be 0.717 0.783 0.783
10 Be 0.000 0.649 0.351
11 Be 0.649 0.351 0.351
12 Be 0.500 0.500 0.000
13 Be 0.000 0.351 0.649



No. 16
A relaxed structure of TiBe2. Source: the Alexandria database, functional PBEsol.

Summary:
* formation energy from the elements: -0.55 eV per formula unit

abc: 4.511 4.511 4.511
angles: 60.00 60.00 60.00
Atoms (fractional coordinates):
1 Be 0.125 0.125 0.625
2 Ti 0.500 0.500 0.500
3 Be 0.125 0.125 0.125
4 Be 0.125 0.625 0.125
5 Ti 0.750 0.750 0.750
6 Be 0.625 0.125 0.125



No. 17
A relaxed structure of Ti3Be. Source: the Alexandria database, functional PBEsol.

Summary:
* E above lowest polymorph: 7 meV per atom
* formation energy from the elements: 0.00 eV per formula unit

abc: 4.434 5.481 5.481
angles: 120.00 90.00 90.00
Atoms (fractional coordinates):
1 Ti 0.250 0.174 0.348
2 Ti 0.250 0.174 0.826
3 Ti 0.250 0.652 0.826
4 Ti 0.750 0.826 0.652
5 Ti 0.750 0.826 0.174
6 Ti 0.750 0.348 0.174
7 Be 0.750 0.333 0.667
8 Be 0.250 0.667 0.333



No. 18
A relaxed structure of Ti3BeTl. Source: the Alexandria database, functional PBEsol.

Summary:
* formation energy from the elements: 8.29 eV per formula unit

abc: 4.970 4.970 4.970
angles: 90.00 90.00 90.00
Atoms (fractional coordinates):
1 Ti 0.500 0.000 0.000
2 Ti 0.000 0.000 0.500
3 Be 0.500 0.500 0.500
4 Tl 0.000 0.000 0.000
5 Ti 0.000 0.500 0.000



No. 19
A relaxed structure of TiBeTl2. Source: the Alexandria database, functional PBEsol.

Summary:
* formation energy from the elements: 2.27 eV per formula unit

abc: 4.752 4.752 4.752
angles: 60.00 60.00 60.00
Atoms (fractional coordinates):
1 Be 0.000 0.000 0.000
2 Tl 0.750 0.750 0.750
3 Ti 0.500 0.500 0.500
4 Tl 0.250 0.250 0.250



No. 20
A relaxed structure of YTiBe3. Source: the Alexandria database, functional PBEsol.

Summary:
* formation energy from the elements: 9.43 eV per formula unit

abc: 4.507 4.507 4.507
angles: 90.00 90.00 90.00
Atoms (fractional coordinates):
1 Y 0.000 0.000 0.000
2 Ti 0.500 0.500 0.500
3 Be 0.000 0.000 0.500
4 Be 0.500 0.000 0.000
5 Be 0.000 0.500 0.000



No. 21
A relaxed structure of YTi2Be. Source: the Alexandria database, functional PBEsol.

Summary:
* formation energy from the elements: 2.85 eV per formula unit

abc: 4.217 4.217 9.792
angles: 102.43 102.43 90.00
Atoms (fractional coordinates):
1 Ti 0.663 0.875 0.250
2 Ti 0.125 0.413 0.750
3 Be 0.750 0.250 0.500
4 Y 0.000 0.000 0.000
5 Y 0.250 0.750 0.500
6 Ti 0.587 0.375 0.250
7 Be 0.500 0.500 0.000
8 Ti 0.625 0.337 0.750



No. 22
A relaxed structure of YTi3Be. Source: the Alexandria database, functional PBEsol.

Summary:
* formation energy from the elements: 8.90 eV per formula unit

abc: 4.648 4.648 4.648
angles: 90.00 90.00 90.00
Atoms (fractional coordinates):
1 Ti 0.500 0.000 0.000
2 Y 0.000 0.000 0.000
3 Be 0.500 0.500 0.500
4 Ti 0.000 0.000 0.500
5 Ti 0.000 0.500 0.000



No. 23
A relaxed structure of ZrTiBe2. Source: the Alexandria database, functional PBEsol.

Summary:
* formation energy from the elements: -0.41 eV per formula unit

abc: 4.275 4.275 4.275
angles: 60.00 60.00 60.00
Atoms (fractional coordinates):
1 Zr 0.500 0.500 0.500
2 Be 0.750 0.750 0.750
3 Be 0.250 0.250 0.250
4 Ti 0.000 0.000 0.000



No. 24
A relaxed structure of ZrTi4Be5. Source: the Alexandria database, functional PBEsol.

Summary:
* formation energy from the elements: -1.24 eV per formula unit

abc: 2.954 2.954 14.744
angles: 90.00 90.00 90.00
Atoms (fractional coordinates):
1 Ti 0.500 0.500 0.597
2 Be 0.000 0.000 0.693
3 Ti 0.500 0.500 0.209
4 Be 0.000 0.000 0.883
5 Be 0.000 0.000 0.500
6 Be 0.000 0.000 0.117
7 Zr 0.500 0.500 0.000
8 Be 0.000 0.000 0.307
9 Ti 0.500 0.500 0.791
10 Ti 0.500 0.500 0.403



No. 25
A relaxed structure of ZrTiBe3. Source: the Alexandria database, functional PBEsol.

Summary:
* formation energy from the elements: 4.46 eV per formula unit

abc: 4.199 4.199 4.199
angles: 90.00 90.00 90.00
Atoms (fractional coordinates):
1 Be 0.000 0.500 0.000
2 Be 0.500 0.000 0.000
3 Zr 0.500 0.500 0.500
4 Be 0.000 0.000 0.500
5 Ti 0.000 0.000 0.000



no.,V (Å³/atom)
1,19.45
2,22.66
3,17.77
4,27.66
5,17.57
6,12.55
7,17.82
8,22.58
9,33.55
10,21.80
11,14.42
12,8.63
13,8.66
14,8.67
15,8.47
16,10.82
17,14.42
18,24.56
19,18.97
20,18.30
21,20.73
22,20.08
23,13.81
24,12.87
25,14.81